1.
# KCd2Au2

A geometry-optimized KCd2Au2 structure (PBE-GGA, the Open Quantum Materials Database).

Geometry as POSCAR:
```
KCd2Au2
1.0
-2.4955 2.6855 -3.2924
-1.7288 -4.1297 -2.0581
-2.2109 0.8478 6.0546
Au Cd K
2 2 1
Cartesian
-3.4093 1.4056 0.0435
-3.0260 -2.0020 0.6607
-3.2257 -0.6898 -1.8048
-3.2096 0.0933 2.5090
0.0000 0.0000 0.0000
```

---

2.
# NbZnFeNi

A geometry-optimized NbZnFeNi structure (PBE-GGA, the Open Quantum Materials Database).

Geometry as POSCAR:
```
NbZnFeNi
1.0
0.0000 2.9744 2.9744
2.9744 0.0000 2.9744
2.9744 2.9744 0.0000
Fe Nb Ni Zn
1 1 1 1
Cartesian
4.4616 4.4616 4.4616
2.9744 2.9744 2.9744
1.4872 1.4872 1.4872
0.0000 0.0000 0.0000
```

Values from the calculation:
Energy of formation   -0.0986 eV per atom

---

Record order is preserved below.
Uncorrected energy: -2.09; -6.41 eV per atom